## AcV2BO8 (PBE+U)

Data for a geometry-optimized AcV2BO8 structure.

Unit cell a=5.163 b=5.163 c=6.632 alpha=90.00 beta=90.00 gamma=120.00
Positions (direct):
1 V 0.333 0.667 0.717
2 V 0.667 0.333 0.283
3 O 0.916 0.705 0.347
4 O 0.667 0.333 0.023
5 O 0.333 0.667 0.977
6 O 0.295 0.211 0.347
7 O 0.789 0.084 0.347
8 O 0.705 0.789 0.653
9 Ac 0.000 0.000 0.000
10 B 0.000 0.000 0.500
11 O 0.084 0.295 0.653
12 O 0.211 0.916 0.653

Properties
For the uncorrected energy, the calculation gives -90.23 eV/cell. The crystal system is trigonal. Its symmetry is P-3 (147).